Ga6I PBE-GGA relaxed; uncorrected formation energy = 0.25 eV/atom; symmetry = Im-3m, No. 229; N(E_F) = 1.148 states/eV per atom
1.0
-3.339 1.069 5.243
-3.889 -0.220 -4.961
3.044 -5.499 0.531
Ga I
6 1
Direct
0.250 0.750 0.500
0.500 0.750 0.250
0.250 0.500 0.750
0.750 0.250 0.500
0.500 0.250 0.750
0.750 0.500 0.250
0.000 0.000 0.000

---

Tb2Nd2DyEr PBE-GGA relaxed; symmetry = Pmma, No. 51; N(E_F) = 1.526 states/eV per atom; formation energy from the elements = 0.06 eV/atom
1.0
-1.277 5.277 -1.600
-4.968 -2.503 -4.293
-6.577 0.608 7.256
Tb Nd Dy Er
4 4 2 2
Direct
0.000 0.258 0.837
0.500 0.258 0.332
0.000 0.758 0.163
0.500 0.758 0.668
0.500 0.008 0.000
0.000 0.258 0.177
0.500 0.508 0.000
0.000 0.758 0.823
0.500 0.258 0.659
0.500 0.758 0.341
0.000 0.008 0.500
0.000 0.508 0.500

---

ZnSn3F PBE-GGA relaxed; uncorrected formation energy = -0.21 eV/atom; energy above the most stable polymorph in this dataset = 0.0000 eV/atom; symmetry = Pm-3m, No. 221; N(E_F) = 0.573 states/eV per atom
1.0
4.965 0.000 0.000
0.000 4.965 0.000
0.000 0.000 4.965
Zn Sn F
1 3 1
Direct
0.500 0.500 0.500
0.000 0.500 0.000
0.000 0.000 0.500
0.500 0.000 0.000
0.000 0.000 0.000

---

NbGaBiSe2 PBE-GGA relaxed; uncorrected formation energy = 1.24 eV/atom; symmetry = P4/mmm, No. 123; N(E_F) = 1.042 states/eV per atom
1.0
-0.715 -2.188 4.984
1.748 -4.601 -1.769
5.124 1.424 1.361
Nb Ga Bi Se
1 1 1 2
Direct
0.500 0.500 0.500
0.000 0.500 0.000
0.000 0.000 0.000
0.000 0.000 0.500
0.500 0.000 0.000

---

Gd2RuCl PBE-GGA relaxed; uncorrected formation energy = -0.90 eV/atom; symmetry = P4/mmm, No. 123; N(E_F) = 0.548 states/eV per atom
1.0
-1.872 1.771 2.172
-0.458 -2.771 1.865
6.565 1.758 4.225
Ru Gd Cl
1 2 1
Direct
0.500 0.500 0.000
0.000 0.000 0.786
0.000 0.000 0.214
0.500 0.500 0.500

---

NaHf4N4Cl4 PBE-GGA relaxed; uncorrected formation energy = -1.77 eV/atom; symmetry = P2/m, No. 10; N(E_F) = 0.094 states/eV per atom
1.0
-3.637 0.197 0.099
-0.362 -4.492 -4.382
-0.311 -8.631 5.777
Na Hf N Cl
1 4 4 4
Direct
0.000 0.000 0.000
0.500 0.706 0.379
0.000 0.209 0.382
0.500 0.294 0.621
0.000 0.791 0.618
0.500 0.639 0.588
0.000 0.133 0.591
0.500 0.361 0.412
0.000 0.867 0.409
0.000 0.394 0.810
0.500 0.895 0.820
0.000 0.606 0.190
0.500 0.105 0.180

---

RbLiSeS2 PBE-GGA relaxed; uncorrected formation energy = 0.87 eV/atom; symmetry = P4/mmm, No. 123; N(E_F) = 0.787 states/eV per atom
1.0
5.835 0.000 0.000
0.000 5.818 0.000
0.000 0.000 5.835
S Se Rb Li
2 1 1 1
Direct
0.000 0.000 0.500
0.500 0.000 0.000
0.500 0.500 0.500
0.000 0.000 0.000
0.000 0.500 0.000

---

NaYTi PBE-GGA relaxed; energy above the most stable polymorph in this dataset = 1.1729 eV/atom; symmetry = F-43m, No. 216; N(E_F) = 2.305 states/eV per atom; formation energy from the elements = 1.28 eV/atom
1.0
-5.008 -0.941 1.363
-2.135 2.529 4.107
-3.688 3.686 -0.799
Y Na Ti
1 1 1
Direct
0.000 0.000 0.000
0.250 0.250 0.250
0.750 0.750 0.750

---

La2PrHo PBE-GGA relaxed; energy above the most stable polymorph in this dataset = 0.0000 eV/atom; symmetry = P4/mmm, No. 123; N(E_F) = 1.427 states/eV per atom; formation energy from the elements = 0.01 eV/atom
1.0
5.169 0.000 0.000
0.000 5.206 0.000
0.000 0.000 5.206
Pr Ho La
1 1 2
Direct
0.500 0.000 0.000
0.500 0.500 0.500
0.000 0.000 0.500
0.000 0.500 0.000

---

Nd8Sb3Te4S PBE-GGA relaxed; uncorrected formation energy = -1.42 eV/atom; symmetry = R-3m, No. 166; N(E_F) = 0.489 states/eV per atom
1.0
-8.749 -1.425 0.715
1.036 -2.000 8.685
2.999 7.768 -3.123
Nd Sb Te S
8 3 4 1
Direct
0.235 0.729 0.994
0.235 0.729 0.470
0.253 0.259 0.506
0.759 0.729 0.994
0.241 0.271 0.006
0.747 0.741 0.494
0.765 0.271 0.530
0.765 0.271 0.006
0.500 0.500 0.000
0.500 0.500 0.500
0.000 0.500 0.500
0.500 0.000 0.000
0.500 0.000 0.500
0.000 0.000 0.000
0.000 0.000 0.500
0.000 0.500 0.000

---

Hg2PtW PBE-GGA relaxed; energy above the most stable polymorph in this dataset = 0.3131 eV/atom; symmetry = R-3m, No. 166; N(E_F) = 1.084 states/eV per atom; formation energy from the elements = 0.52 eV/atom
1.0
-2.728 -6.983 -5.958
-0.598 -8.453 -4.462
-3.373 -8.310 -3.358
Hg Pt W
2 1 1
Direct
0.999 0.999 0.999
0.501 0.501 0.501
0.250 0.250 0.250
0.750 0.750 0.750

---

Sc2PbS4 PBE-GGA relaxed; uncorrected formation energy = -1.52 eV/atom; energy above the most stable polymorph in this dataset = 0.0000 eV/atom; symmetry = Pnma, No. 62; N(E_F) = 0.000 states/eV per atom
1.0
3.778 0.000 0.000
0.000 11.776 0.000
0.000 0.000 13.753
Sc Pb S
8 4 16
Direct
0.750 0.057 0.111
0.250 0.943 0.889
0.750 0.557 0.389
0.250 0.443 0.611
0.250 0.417 0.096
0.750 0.583 0.904
0.250 0.917 0.404
0.750 0.083 0.596
0.750 0.741 0.172
0.250 0.259 0.828
0.750 0.241 0.328
0.250 0.759 0.672
0.250 0.413 0.427
0.750 0.587 0.573
0.250 0.913 0.073
0.750 0.087 0.927
0.250 0.533 0.784
0.750 0.467 0.216
0.250 0.033 0.716
0.750 0.967 0.284
0.250 0.121 0.471
0.750 0.879 0.529
0.250 0.621 0.029
0.750 0.379 0.971
0.750 0.297 0.657
0.250 0.703 0.343
0.750 0.797 0.843
0.250 0.203 0.157

---

Mg2Ga2Cu5Sn PBE-GGA relaxed; symmetry = P4/mbm, No. 127; N(E_F) = 0.418 states/eV per atom; formation energy from the elements = -0.04 eV/atom
1.0
-1.918 -3.257 0.965
-1.021 -2.000 -8.778
7.824 -4.568 0.131
Mg Ga Cu Sn
4 4 10 2
Direct
0.000 0.678 0.178
0.000 0.322 0.822
0.000 0.178 0.322
0.000 0.822 0.678
0.000 0.117 0.617
0.000 0.883 0.383
0.000 0.617 0.883
0.000 0.383 0.117
0.500 0.211 0.068
0.500 0.789 0.932
0.500 0.068 0.789
0.500 0.711 0.432
0.500 0.932 0.211
0.500 0.289 0.568
0.500 0.568 0.711
0.500 0.432 0.289
0.500 0.500 0.000
0.500 0.000 0.500
0.000 0.000 0.000
0.000 0.500 0.500

---

AcTbTh2Se4 PBE-GGA relaxed; uncorrected formation energy = -1.64 eV/atom; symmetry = P2/m, No. 10; N(E_F) = 0.646 states/eV per atom
1.0
4.235 0.000 0.000
0.000 7.429 -0.190
0.000 2.571 6.811
Ac Tb Th Se
1 1 2 4
Direct
0.500 0.500 0.000
0.000 0.500 0.500
0.000 0.000 0.000
0.500 0.000 0.500
0.000 0.754 0.736
0.000 0.246 0.264
0.500 0.746 0.263
0.500 0.254 0.737

---

HoTiTc PBE-GGA relaxed; energy above the most stable polymorph in this dataset = 0.1362 eV/atom; symmetry = Fmmm, No. 69; N(E_F) = 1.029 states/eV per atom; formation energy from the elements = -0.02 eV/atom
1.0
-0.691 2.443 -4.454
1.108 -4.906 -0.993
-4.996 0.123 2.858
Ho Ti Tc
2 2 2
Direct
0.685 0.315 0.000
0.315 0.685 0.000
0.816 0.816 0.632
0.184 0.184 0.368
0.750 0.250 0.500
0.250 0.750 0.500

---

SbIrOs2 PBE-GGA relaxed; uncorrected formation energy = 0.97 eV/atom; symmetry = Cmmm, No. 65; N(E_F) = 1.597 states/eV per atom
1.0
2.841 -0.008 0.000
-1.452 2.443 0.000
0.000 0.000 9.690
Ir Os Sb
1 2 1
Direct
0.500 0.500 0.750
0.000 0.000 0.985
0.000 0.000 0.515
0.500 0.500 0.250

---

CaTiSi2 PBE-GGA relaxed; uncorrected formation energy = 0.06 eV/atom; energy above the most stable polymorph in this dataset = 0.0873 eV/atom; symmetry = I-42d, No. 122; N(E_F) = 0.953 states/eV per atom
1.0
-4.760 -0.926 0.406
0.787 -2.164 4.287
-3.086 5.833 6.274
Ca Si Ti
2 4 2
Direct
0.500 0.500 0.000
0.250 0.750 0.500
0.795 0.125 0.250
0.955 0.625 0.250
0.375 0.205 0.750
0.875 0.045 0.750
0.000 0.000 0.000
0.750 0.250 0.500

---

LiVIr3 PBE-GGA relaxed; symmetry = Pm-3m, No. 221; N(E_F) = 0.798 states/eV per atom; formation energy from the elements = 0.58 eV/atom
1.0
-0.430 -3.944 0.988
3.662 0.056 1.817
-1.766 1.076 3.527
V Ir Li
1 3 1
Direct
0.500 0.500 0.500
0.000 0.500 0.000
0.000 0.000 0.500
0.500 0.000 0.000
0.000 0.000 0.000

---

CaTeCl2 PBE-GGA relaxed; uncorrected formation energy = -1.14 eV/atom; energy above the most stable polymorph in this dataset = 0.3196 eV/atom; symmetry = Pmmm, No. 47; N(E_F) = 0.230 states/eV per atom
1.0
3.833 0.000 0.000
0.000 5.858 0.000
0.000 0.000 4.545
Ca Te Cl
1 1 2
Direct
0.000 0.500 0.500
0.500 0.000 0.500
0.000 0.000 0.000
0.500 0.500 0.000

---

Cr2GaBr PBE-GGA relaxed; uncorrected formation energy = 0.60 eV/atom; energy above the most stable polymorph in this dataset = 0.0000 eV/atom; symmetry = I-42d, No. 122; N(E_F) = 0.838 states/eV per atom
1.0
-1.136 2.687 6.578
-6.045 -3.866 0.535
-1.933 -3.006 4.829
Cr Ga Br
4 2 2
Direct
0.620 0.125 0.250
0.130 0.625 0.250
0.375 0.380 0.750
0.875 0.870 0.750
0.500 0.500 0.000
0.250 0.750 0.500
0.000 0.000 0.000
0.750 0.250 0.500